(1)
DFT (PBE-GGA) results for a relaxed Pr4CuSb crystal.

The structure in extended XYZ format:
```
12
Lattice="2.8060 -10.3858 0.0000 2.8060 10.3858 0.0000 0.0000 0.0000 6.5131" Properties=species:S:1:pos:R:3 pbc="T T T"
Pr 2.8060 9.3190 3.2550
Pr 2.8060 6.1259 1.6430
Pr 2.8060 6.1301 4.8728
Pr 2.8060 2.1796 3.2566
Pr 2.8060 -2.1796 0.0000
Pr 2.8060 -6.1301 1.6163
Pr 2.8060 -6.1259 4.8996
Pr 2.8060 -9.3190 6.5115
Cu 2.8060 8.6366 0.0075
Cu 2.8060 -8.6366 3.2640
Sb 2.8060 3.0747 6.5129
Sb 2.8060 -3.0747 3.2563
```

Results
Space-group type: Cmc2_1
Uncorrected formation energy: -1.774 eV/f.u.



(2)
DFT (PBE-GGA) results for a relaxed Pr3CuSb crystal.

The structure in extended XYZ format:
```
10
Lattice="8.1043 -2.1123 0.0000 8.1043 2.1123 0.0000 -0.0234 0.0000 8.7112" Properties=species:S:1:pos:R:3 pbc="T T T"
Pr 0.0000 0.0000 0.0000
Pr 3.4286 0.0000 3.4091
Pr 4.6791 0.0000 0.0510
Pr 8.1084 0.0000 3.4665
Pr 10.4752 0.0000 6.4280
Pr 13.8189 0.0000 5.7453
Cu 0.5747 0.0000 5.5670
Cu 7.5084 0.0000 6.6190
Sb 10.3484 0.0000 1.1020
Sb 13.9680 0.0000 2.3606
```

Results
Space-group type: Cm
Uncorrected formation energy: -2.439 eV/f.u.



(3)
DFT (PBE-GGA) results for a relaxed PrSmCuSb crystal.

The structure in extended XYZ format:
```
4
Lattice="0.0000 3.7381 3.7381 3.7381 0.0000 3.7381 3.7381 3.7381 0.0000" Properties=species:S:1:pos:R:3 pbc="T T T"
Pr 0.0000 0.0000 0.0000
Sm 3.7381 3.7381 3.7381
Cu 1.8691 1.8691 1.8691
Sb 5.6072 5.6072 5.6072
```

Results
Space-group type: F-43m
Uncorrected formation energy: -2.013 eV/f.u.